Entry 1:
## LiMg2Sb (PBE-GGA)

Data for a relaxed LiMg2Sb crystal.

- E: -2.38 eV/atom
- Formation energy (no corrections): -0.076 eV/atom
- D(E_F): 7.365 states/eV per cell
- M_tot: 0.000 μB/cell

Unit cell a=4.4053 b=4.4053 c=19.9630 alpha=90.00 beta=90.00 gamma=90.00
Last column: nearest neighbours and their distance in Å.
Space group I-42d (No. 122)
Unique sites:
Li (0.0000, 0.0000, 0.0000) (multiplicity 4)  4 Mg 2.94, 4 Sb 3.12
Mg (0.2463, 0.2500, 0.1250) (multiplicity 8)  2 Li 2.94, 2 Sb 2.95, 4 Mg 3.09-3.14
Sb (0.0000, 0.0000, 0.5000) (multiplicity 4)  4 Mg 2.95, 4 Li 3.12

***

Entry 2:
## LiMg2Sb (PBE-GGA)

Data for a relaxed LiMg2Sb crystal.

- E: -2.40 eV/atom
- Formation energy (no corrections): -0.095 eV/atom
- D(E_F): 6.190 states/eV per cell
- M_tot: 0.000 μB/cell

Unit cell a=3.3495 b=3.3495 c=28.8297 alpha=90.00 beta=90.00 gamma=120.00
Last column: nearest neighbours and their distance in Å.
Space group R3m (No. 160, hexagonal axes)
Unique sites:
Li (0.0000, 0.0000, 0.0000) (multiplicity 3)  3 Sb 2.91, 3 Mg 3.18
Mg (0.0000, 0.0000, 0.5088) (multiplicity 3)  3 Sb 3.07, 9 Mg 3.19-3.35
Mg (0.0000, 0.0000, 0.7543) (multiplicity 3)  3 Li 3.18, 9 Mg 3.19-3.35
Sb (0.0000, 0.0000, 0.2581) (multiplicity 3)  3 Li 2.91, 3 Mg 3.07

***

Entry 3:
## LiMg2Sb (PBE-GGA)

Data for a relaxed LiMg2Sb crystal.

- E: -2.48 eV/atom
- Formation energy (no corrections): -0.175 eV/atom
- D(E_F): 1.094 states/eV per cell
- M_tot: 0.000 μB/cell

Unit cell a=3.3080 b=5.3590 c=5.1734 alpha=90.00 beta=90.16 gamma=90.00
Last column: nearest neighbours and their distance in Å.
Space group P2/m (No. 10)
Unique sites:
Li (0.0000, 0.0000, 0.0000) (multiplicity 1)  4 Sb 3.07, 4 Mg 3.09, 2 Li 3.31
Mg (0.2614, 0.5000, 0.2488) (multiplicity 2)  6 Mg 3.02-3.31, 2 Sb 3.08, 2 Li 3.09
Sb (0.5000, 0.0000, 0.5000) (multiplicity 1)  4 Li 3.07, 4 Mg 3.08, 2 Sb 3.31

***

Entry 4:
## Li2MgSb (PBE-GGA)

Data for a relaxed Li2MgSb crystal.

- E: -2.66 eV/atom
- Formation energy (no corrections): -0.270 eV/atom
- D(E_F): 2.671 states/eV per cell
- M_tot: 0.000 μB/cell

Unit cell a=9.3050 b=3.2436 c=5.7053 alpha=90.00 beta=97.93 gamma=90.00
Last column: nearest neighbours and their distance in Å.
Space group C2/m (No. 12)
Unique sites:
Li (0.2421, 0.0000, 0.2241) (multiplicity 4)  3 Sb 2.87-2.92, 3 Mg 2.92-3.13, 2 Li 3.05
Mg (0.0000, 0.0000, 0.5000) (multiplicity 2)  6 Li 2.92-3.13, 2 Mg 3.24
Sb (0.0000, 0.5000, 0.0000) (multiplicity 2)  6 Li 2.87-2.92

***

Entry 5:
## LiMgSb2 (PBE-GGA)

Data for a relaxed LiMgSb2 crystal.

- E: -3.21 eV/atom
- Formation energy (no corrections): -0.270 eV/atom
- D(E_F): 1.415 states/eV per cell
- M_tot: 0.000 μB/cell

Unit cell a=3.3232 b=4.2079 c=6.6760 alpha=90.00 beta=94.83 gamma=90.00
Last column: nearest neighbours and their distance in Å.
Space group P2/m (No. 10)
Unique sites:
Li (0.0000, 0.0000, 0.0000) (multiplicity 1)  8 Sb 3.07-3.21, 2 Li 3.32, 2 Mg 3.34
Mg (0.0000, 0.0000, 0.5000) (multiplicity 1)  8 Sb 3.10-3.25, 2 Mg 3.32, 2 Li 3.34
Sb (0.4998, 0.5000, 0.2447) (multiplicity 2)  4 Li 3.07-3.21, 4 Mg 3.10-3.25, 4 Sb 3.27-3.41

***

Entry 6:
## Li2MgSbSe4 (PBE-GGA)

Data for a relaxed Li2MgSbSe4 crystal.

- E: -3.77 eV/atom
- Formation energy (no corrections): -0.835 eV/atom
- D(E_F): 1.713 states/eV per cell
- M_tot: 0.000 μB/cell

Unit cell a=6.7856 b=3.9207 c=6.8634 alpha=90.00 beta=109.29 gamma=90.00
Last column: nearest neighbours and their distance in Å.
Space group P2/m (No. 10)
Unique sites:
Li (0.0000, 0.0000, 0.0000) (multiplicity 1)  6 Se 2.75-2.81
Li (0.5000, 0.5000, 0.0000) (multiplicity 1)  6 Se 2.81
Mg (0.0000, 0.5000, 0.5000) (multiplicity 1)  6 Se 2.75-2.76
Sb (0.5000, 0.0000, 0.5000) (multiplicity 1)  6 Se 2.76-2.81
Se (0.2429, 0.5000, 0.2470) (multiplicity 2)  3 Li 2.75-2.81, 1 Mg 2.76, 2 Sb 2.81
Se (0.2470, 0.0000, 0.7422) (multiplicity 2)  2 Mg 2.75, 1 Sb 2.76, 3 Li 2.81

***

Entry 7:
## LiMgSb2Se4 (PBE-GGA)

Data for a relaxed LiMgSb2Se4 crystal.

- E: -3.77 eV/atom
- Formation energy (no corrections): -0.556 eV/atom
- D(E_F): 2.596 states/eV per cell
- M_tot: 0.000 μB/cell

Unit cell a=7.0431 b=4.0213 c=7.7198 alpha=90.00 beta=114.90 gamma=90.00
Last column: nearest neighbours and their distance in Å.
Space group P2/m (No. 10)
Unique sites:
Li (0.0000, 0.0000, 0.0000) (multiplicity 1)  4 Se 2.83
Mg (0.0000, 0.5000, 0.5000) (multiplicity 1)  6 Se 2.71-2.82
Sb (0.5000, 0.0000, 0.5000) (multiplicity 1)  6 Se 2.89
Sb (0.5000, 0.5000, 0.0000) (multiplicity 1)  4 Se 2.86
Se (0.2054, 0.5000, 0.2719) (multiplicity 2)  1 Mg 2.71, 2 Li 2.83, 2 Sb 2.89
Se (0.2673, 0.0000, 0.7318) (multiplicity 2)  2 Mg 2.82, 3 Sb 2.86-2.89

***

Entry 8:
## LiMgSiSb2 (PBE-GGA)

Data for a relaxed LiMgSiSb2 crystal.

- E: -2.93 eV/atom
- Formation energy (no corrections): 0.507 eV/atom
- D(E_F): 4.106 states/eV per cell
- M_tot: 0.000 μB/cell

Unit cell a=4.9766 b=4.9766 c=4.7200 alpha=90.00 beta=90.00 gamma=90.00
Last column: nearest neighbours and their distance in Å.
Space group P4/mmm (No. 123)
Unique sites:
Li (0.0000, 0.0000, 0.0000) (multiplicity 1)  2 Mg 2.36, 4 Sb 2.49
Mg (0.0000, 0.0000, 0.5000) (multiplicity 1)  2 Li 2.36
Si (0.5000, 0.5000, 0.5000) (multiplicity 1)  8 Sb 3.43, 4 Mg 3.52
Sb (0.0000, 0.5000, 0.0000) (multiplicity 2)  2 Li 2.49